# Tb2Zn6Ni3 | the Alexandria database | PBE | relaxed
data_Tb2Zn6Ni3
_chemical_formula_sum 'Tb2 Zn6 Ni3'
_cell_length_a 7.4282
_cell_length_b 7.4282
_cell_length_c 3.8890
_cell_angle_alpha 90.00
_cell_angle_beta 90.00
_cell_angle_gamma 120.00
_symmetry_space_group_name_H-M 'P -6 2 m'
_symmetry_Int_Tables_number 189
_symmetry_space_group_name_Hall 'P -6 -2'
loop_
_atom_site_label
_atom_site_fract_x
_atom_site_fract_y
_atom_site_fract_z
_atom_site_occupancy
Tb1 0.3333 0.6667 0.0000 1
Zn1 0.0000 0.2818 0.5000 1
Zn2 0.0000 0.8003 0.0000 1
Ni1 0.0000 0.6080 0.5000 1
# total moment	0.000	μB per cell
# energy relative to the elements	-287.6	meV per atom
# uncorrected energy	-37.4	eV per cell